A plane-wave DFT calculation with PBE with a Hubbard U was carried out for CsCrIO2 after structural relaxation.

Structure (CIF):
```
data_CsCrIO2
_cell_length_a 4.360
_cell_length_b 4.360
_cell_length_c 7.638
_cell_angle_alpha 90.00
_cell_angle_beta 90.00
_cell_angle_gamma 90.00
_symmetry_space_group_name_H-M 'P 4/m m m'
_symmetry_Int_Tables_number 123
_symmetry_space_group_name_Hall '-P 4 2'
loop_
_atom_site_label
_atom_site_fract_x
_atom_site_fract_y
_atom_site_fract_z
Cs1 0.000 0.000 0.000
Cr1 0.500 0.500 0.500
I1 0.000 0.000 0.500
O1 0.000 0.500 0.000
```

## Properties
ΔE to the lowest computed polymorph = 814.3 meV/atom
E = -3.62 eV/atom


A plane-wave DFT calculation with PBE with a Hubbard U was carried out for CsCrIO2 after structural relaxation.

Structure (CIF):
```
data_CsCrIO2
_cell_length_a 4.556
_cell_length_b 4.556
_cell_length_c 5.570
_cell_angle_alpha 90.00
_cell_angle_beta 90.00
_cell_angle_gamma 90.00
_symmetry_space_group_name_H-M 'P 4/m m m'
_symmetry_Int_Tables_number 123
_symmetry_space_group_name_Hall '-P 4 2'
loop_
_atom_site_label
_atom_site_fract_x
_atom_site_fract_y
_atom_site_fract_z
Cs1 0.000 0.000 0.000
Cr1 0.500 0.500 0.500
I1 0.500 0.500 0.000
O1 0.000 0.500 0.500
```

## Properties
ΔE to the lowest computed polymorph = 0.0 meV/atom
E = -4.43 eV/atom


A plane-wave DFT calculation with PBE with a Hubbard U was carried out for CsCrI2O after structural relaxation.

Structure (CIF):
```
data_CsCrI2O
_cell_length_a 7.056
_cell_length_b 7.056
_cell_length_c 4.393
_cell_angle_alpha 90.00
_cell_angle_beta 90.00
_cell_angle_gamma 90.00
_symmetry_space_group_name_H-M 'P 4/m m m'
_symmetry_Int_Tables_number 123
_symmetry_space_group_name_Hall '-P 4 2'
loop_
_atom_site_label
_atom_site_fract_x
_atom_site_fract_y
_atom_site_fract_z
Cs1 0.000 0.000 0.000
Cr1 0.500 0.500 0.500
I1 0.000 0.500 0.000
O1 0.000 0.000 0.500
```

## Properties
ΔE to the lowest computed polymorph = 1291.3 meV/atom
E = -2.98 eV/atom


A plane-wave DFT calculation with PBE with a Hubbard U was carried out for CsCrI2O after structural relaxation.

Structure (CIF):
```
data_CsCrI2O
_cell_length_a 6.435
_cell_length_b 6.435
_cell_length_c 3.780
_cell_angle_alpha 90.00
_cell_angle_beta 90.00
_cell_angle_gamma 90.00
_symmetry_space_group_name_H-M 'P 4/m m m'
_symmetry_Int_Tables_number 123
_symmetry_space_group_name_Hall '-P 4 2'
loop_
_atom_site_label
_atom_site_fract_x
_atom_site_fract_y
_atom_site_fract_z
Cs1 0.000 0.000 0.000
Cr1 0.500 0.500 0.500
I1 0.000 0.500 0.500
O1 0.500 0.500 0.000
```

## Properties
ΔE to the lowest computed polymorph = 0.0 meV/atom
E = -4.27 eV/atom


Look up the E of the first one.
-3.62 eV/atom